Entry 1:
First-principles (PBE) data for Tb2YC2 after structural relaxation, as listed in Alexandria via LeMat-Bulk.

CIF file:
```
data_Tb2YC2
_chemical_formula_sum 'Tb8 Y4 C8'
_symmetry_space_group_name_H-M 'C 1 2/m 1'
_symmetry_Int_Tables_number 12
_cell_length_a 11.5755
_cell_length_b 5.1378
_cell_length_c 7.3539
_cell_angle_alpha 90.00
_cell_angle_beta 109.93
_cell_angle_gamma 90.00
loop_
_symmetry_equiv_pos_as_xyz
'x,y,z'
'-x,-y,-z'
'-x,y,-z'
'x,-y,z'
'x+1/2,y+1/2,z'
'-x+1/2,-y+1/2,-z'
'-x+1/2,y+1/2,-z'
'x+1/2,-y+1/2,z'
loop_
_atom_site_label
_atom_site_fract_x
_atom_site_fract_y
_atom_site_fract_z
_atom_site_occupancy
Tb1 0.0069 0.0000 0.2290 1
Tb2 0.1627 0.5000 0.0685 1
Y1 0.1552 0.5000 0.5955 1
C1 0.0015 0.5000 0.2622 1
C2 0.1672 0.0000 0.0885 1
```

The density of states at the Fermi level is 2.09 states/eV/f.u. For the formation energy, the calculation gives -0.194 eV per atom.


Entry 2:
First-principles (PBE) data for Tb3YC after structural relaxation, as listed in Alexandria via LeMat-Bulk.

CIF file:
```
data_Tb3YC
_chemical_formula_sum 'Tb3 Y1 C1'
_symmetry_space_group_name_H-M 'P m -3 m'
_symmetry_Int_Tables_number 221
_symmetry_space_group_name_Hall '-P 4 2 3'
_cell_length_a 5.0846
_cell_length_b 5.0846
_cell_length_c 5.0846
_cell_angle_alpha 90.00
_cell_angle_beta 90.00
_cell_angle_gamma 90.00
loop_
_atom_site_label
_atom_site_fract_x
_atom_site_fract_y
_atom_site_fract_z
_atom_site_occupancy
Tb1 0.0000 0.0000 0.5000 1
Y1 0.5000 0.5000 0.5000 1
C1 0.0000 0.0000 0.0000 1
```

The density of states at the Fermi level is 6.32 states/eV/f.u. For the formation energy, the calculation gives -0.002 eV per atom.


Entry 3:
First-principles (PBE) data for Tb4Y2C after structural relaxation, as listed in Alexandria via LeMat-Bulk.

CIF file:
```
data_Tb4Y2C
_chemical_formula_sum 'Tb8 Y4 C2'
_symmetry_space_group_name_H-M 'I 4/m m m'
_symmetry_Int_Tables_number 139
_symmetry_space_group_name_Hall '-I 4 2'
_cell_length_a 4.8868
_cell_length_b 4.8868
_cell_length_c 17.6997
_cell_angle_alpha 90.00
_cell_angle_beta 90.00
_cell_angle_gamma 90.00
loop_
_atom_site_label
_atom_site_fract_x
_atom_site_fract_y
_atom_site_fract_z
_atom_site_occupancy
Tb1 0.0000 0.0000 0.1346 1
Tb2 0.0000 0.5000 0.0000 1
Y1 0.0000 0.0000 0.3282 1
C1 0.0000 0.0000 0.0000 1
```

The density of states at the Fermi level is 9.36 states/eV/f.u. For the formation energy, the calculation gives 0.133 eV per atom.


| no. | uncorrected energy (hartree per atom) |
| --- | --- |
| 1 | -0.2583 |
| 2 | -0.2175 |
| 3 | -0.2086 |